CeAlAg after structural relaxation. Source: the Alexandria database, functional PBE-GGA.

a b c (Å): 3.107 3.107 12.646
angles (deg): 90.00 90.00 90.00
Fractional positions:
1 Ag 0.750 0.250 0.078
2 Ag 0.250 0.750 0.922
3 Ce 0.250 0.750 0.613
4 Ce 0.750 0.250 0.387
5 Al 0.250 0.750 0.207
6 Al 0.750 0.250 0.793

Calculated volume: 122 Å³/cell
Space group: No. 129
Spin magnetization: 0.36 Bohr magnetons per cell
Calculated formation energy: -0.12 eV/atom